# TiTlVBr6

TiTlVBr6 after structural relaxation (PBE, Alexandria).

Computed properties:
Uncorrected formation energy in eV per atom: -0.982
E in eV per atom: -4.251

a = 6.814 Å, b = 6.814 Å, c = 14.699 Å
α = 90.00°, β = 90.00°, γ = 120.00°
Last column: magnetic moment on the atom in μB.
Fractional coordinates of all 18 atoms:
Ti 0.667 0.333 0.250  1.11
Ti 0.333 0.667 0.750  1.11
Tl 0.000 0.000 0.000  0.01
Tl 0.000 0.000 0.500  0.01
V 0.333 0.667 0.250  2.48
V 0.667 0.333 0.750  2.48
Br 0.627 0.626 0.148  -0.02
Br 0.000 0.373 0.148  -0.02
Br 0.373 0.000 0.648  -0.02
Br 0.000 0.627 0.852  -0.02
Br 0.374 0.373 0.352  -0.02
Br 0.000 0.626 0.352  -0.02
Br 0.626 0.000 0.852  -0.02
Br 0.627 0.000 0.352  -0.02
Br 0.000 0.374 0.648  -0.02
Br 0.374 0.000 0.148  -0.02
Br 0.626 0.627 0.648  -0.02
Br 0.373 0.374 0.852  -0.02

---

# PmDy6Sc8

PmDy6Sc8 after structural relaxation (PBE, Alexandria).

Computed properties:
E in eV per atom: -5.386
Formation energy from the elements in eV/atom: 0.15

a = 8.578 Å, b = 8.578 Å, c = 8.265 Å
α = 58.74°, β = 58.74°, γ = 60.00°
Fractional coordinates of all 15 atoms:
Pm 0.000 0.000 0.000
Dy 0.463 0.899 0.867
Dy 0.101 0.229 0.133
Dy 0.229 0.537 0.133
Dy 0.771 0.463 0.867
Dy 0.899 0.771 0.867
Dy 0.537 0.101 0.133
Sc 0.713 0.112 0.426
Sc 0.888 0.251 0.574
Sc 0.251 0.287 0.574
Sc 0.575 0.575 0.276
Sc 0.425 0.425 0.724
Sc 0.749 0.713 0.426
Sc 0.112 0.749 0.426
Sc 0.287 0.888 0.574

---

# SrBi2Rh2Pb

SrBi2Rh2Pb after structural relaxation (PBE, Alexandria).

Computed properties:
E in eV per atom: -4.718
Formation energy from the elements in eV/atom: -0.08

a = 5.100 Å, b = 5.100 Å, c = 6.664 Å
α = 90.00°, β = 90.00°, γ = 90.00°
Fractional coordinates of all 6 atoms:
Sr 0.000 0.000 0.500
Bi 0.500 0.500 0.762
Bi 0.500 0.500 0.238
Rh 0.500 0.000 0.000
Rh 0.000 0.500 0.000
Pb 0.000 0.000 0.000

---

# KRbLiTl

KRbLiTl after structural relaxation (PBE, Alexandria).

Computed properties:
E in eV per atom: -1.503
Formation energy from the elements in eV/atom: 0.08

a = 6.104 Å, b = 6.104 Å, c = 6.104 Å
α = 60.00°, β = 60.00°, γ = 60.00°
Fractional coordinates of all 4 atoms:
Tl 0.250 0.250 0.250
K 0.000 0.000 0.000
Rb 0.750 0.750 0.750
Li 0.500 0.500 0.500

---

# SiRu2Br

SiRu2Br after structural relaxation (PBE, Alexandria).

Computed properties:
Uncorrected formation energy in eV per atom: 0.384
E in eV per atom: -6.028
E above lowest polymorph in meV/atom: 319

a = 2.941 Å, b = 2.941 Å, c = 7.641 Å
α = 90.00°, β = 90.00°, γ = 90.00°
Fractional coordinates of all 4 atoms:
Br 0.500 0.500 0.793
Ru 0.000 0.000 0.019
Ru 0.500 0.500 0.253
Si 0.000 0.000 0.435

---

# PuNpTeS

PuNpTeS after structural relaxation (PBE, Alexandria).

Computed properties:
Uncorrected formation energy in eV per atom: -1.144
E in eV per atom: -9.780

a = 4.047 Å, b = 4.047 Å, c = 7.498 Å
α = 74.34°, β = 74.34°, γ = 60.00°
Last column: magnetic moment on the atom in μB.
Fractional coordinates of all 4 atoms:
Pu 0.988 0.988 0.037  -5.28
Np 0.512 0.512 0.463  3.93
Te 0.750 0.750 0.749  0.00
S 0.250 0.250 0.251  0.01

---

# MoRhCl2

MoRhCl2 after structural relaxation (PBE, Alexandria).

Computed properties:
Uncorrected formation energy in eV per atom: -0.230
E in eV per atom: -5.699
E above lowest polymorph in meV/atom: 19

a = 3.786 Å, b = 3.786 Å, c = 8.505 Å
α = 75.40°, β = 75.40°, γ = 47.46°
Fractional coordinates of all 4 atoms:
Mo 0.428 0.428 0.453
Rh 0.220 0.220 0.282
Cl 0.004 0.004 0.085
Cl 0.848 0.848 0.680

---

# Tb5PmPr2Y

Tb5PmPr2Y after structural relaxation (PBE, Alexandria).

Computed properties:
E in eV per atom: -4.618
Formation energy from the elements in eV/atom: 0.26

a = 8.736 Å, b = 8.736 Å, c = 10.039 Å
α = 115.79°, β = 115.79°, γ = 90.00°
Fractional coordinates of all 18 atoms:
Tb 0.927 0.427 0.279
Tb 0.648 0.148 0.721
Tb 0.073 0.573 0.721
Tb 0.148 0.073 0.721
Tb 0.573 0.648 0.721
Tb 0.852 0.927 0.279
Tb 0.427 0.352 0.279
Tb 0.352 0.852 0.279
Tb 0.500 0.500 0.000
Tb 0.000 0.000 0.000
Pm 0.250 0.250 0.500
Pm 0.750 0.750 0.500
Pr 0.118 0.382 0.000
Pr 0.618 0.118 0.000
Pr 0.382 0.882 0.000
Pr 0.882 0.618 0.000
Y 0.250 0.750 0.500
Y 0.750 0.250 0.500

---

# LiSm2Sn

LiSm2Sn after structural relaxation (PBE, Alexandria).

Computed properties:
E in eV per atom: -4.265
E above lowest polymorph in meV/atom: 15
Formation energy from the elements in eV/atom: -0.43

a = 4.328 Å, b = 4.993 Å, c = 4.993 Å
α = 90.00°, β = 90.00°, γ = 90.00°
Fractional coordinates of all 4 atoms:
Sn 0.500 0.000 0.000
Sm 0.000 0.000 0.500
Sm 0.000 0.500 0.000
Li 0.500 0.500 0.500

---

# CsZnHgAu2

CsZnHgAu2 after structural relaxation (PBE, Alexandria).

Computed properties:
E in eV per atom: -1.917
Formation energy from the elements in eV/atom: -0.12

a = 5.233 Å, b = 5.233 Å, c = 5.379 Å
α = 90.00°, β = 90.00°, γ = 90.00°
Fractional coordinates of all 5 atoms:
Cs 0.500 0.500 0.500
Zn 0.000 0.000 0.000
Au 0.000 0.500 0.000
Au 0.500 0.000 0.000
Hg 0.000 0.000 0.500

---

# BaInNi

BaInNi after structural relaxation (PBE, Alexandria).

Computed properties:
E in eV per atom: -3.440
Formation energy from the elements in eV/atom: 0.04

a = 5.007 Å, b = 5.007 Å, c = 5.007 Å
α = 60.00°, β = 60.00°, γ = 60.00°
Fractional coordinates of all 3 atoms:
Ba 0.000 0.000 0.000
In 0.500 0.500 0.500
Ni 0.750 0.750 0.750

---

# HfSn2MoH

HfSn2MoH after structural relaxation (PBE, Alexandria).

Computed properties:
E in eV per atom: -5.722

a = 5.554 Å, b = 3.430 Å, c = 5.554 Å
α = 90.00°, β = 90.00°, γ = 90.00°
Last column: magnetic moment on the atom in μB.
Fractional coordinates of all 5 atoms:
H 0.000 0.500 0.000  0.00
Mo 0.500 0.500 0.500  2.19
Hf 0.000 0.000 0.000  -0.03
Sn 0.000 0.000 0.500  -0.05
Sn 0.500 0.000 0.000  -0.03